(1)
{"formula": "K2LiTcCl6", "functional": "PBE", "state": "relaxed", "raw_formation_energy_ev_per_fu": -13.84, "total_energy_ev_per_cell": -78.783, "magnetic_moment_mub_per_fu": 2.00, "rho_g_cm3": 2.594, "dos_at_fermi_per_ev_atom": 0.57, "lattice_angstrom": [[7.040, 0.000, 0.000], [3.520, 6.097, 0.000], [3.520, 2.032, 11.808]], "species": ["Tc", "Tc", "Cl", "Cl", "Cl", "Cl", "Cl", "Cl", "Cl", "Cl", "Cl", "Cl", "Cl", "Cl", "K", "K", "K", "K", "Li", "Li"], "fractional_positions": [[0.500, 0.500, 0.500], [0.000, 0.000, 0.000], [0.379, 0.862, 0.381], [0.283, 0.799, 0.119], [0.379, 0.379, 0.381], [0.717, 0.201, 0.881], [0.138, 0.621, 0.619], [0.621, 0.621, 0.619], [0.621, 0.138, 0.619], [0.201, 0.717, 0.881], [0.799, 0.799, 0.119], [0.201, 0.201, 0.881], [0.862, 0.379, 0.381], [0.799, 0.283, 0.119], [0.126, 0.126, 0.622], [0.297, 0.297, 0.108], [0.703, 0.703, 0.892], [0.874, 0.874, 0.378], [0.584, 0.584, 0.249], [0.416, 0.416, 0.751]]}



(2)
{"formula": "MgCoPt2", "functional": "PBE", "state": "relaxed", "total_energy_ev_per_cell": -41.430, "magnetic_moment_mub_per_fu": 1.98, "rho_g_cm3": 11.980, "dos_at_fermi_per_ev_atom": 1.57, "lattice_angstrom": [[3.881, 0.000, 0.000], [0.000, 3.881, 0.000], [1.940, 1.940, 8.714]], "species": ["Mg", "Mg", "Pt", "Pt", "Pt", "Pt", "Co", "Co"], "fractional_positions": [[0.500, 0.500, 0.000], [0.250, 0.750, 0.500], [0.637, 0.125, 0.250], [0.113, 0.625, 0.250], [0.875, 0.887, 0.750], [0.375, 0.363, 0.750], [0.750, 0.250, 0.500], [0.000, 0.000, 0.000]]}



(3)
{"formula": "TiAlSN2", "functional": "PBE", "state": "relaxed", "raw_formation_energy_ev_per_fu": 0.75, "total_energy_ev_per_cell": -31.666, "magnetic_moment_mub_per_fu": 0.29, "rho_g_cm3": 3.467, "polymorph_energy_ev_per_atom": 0.032, "dos_at_fermi_per_ev_atom": 0.60, "lattice_angstrom": [[3.664, 0.000, 0.000], [0.000, 3.664, 0.000], [0.000, 0.000, 4.815]], "species": ["Al", "Ti", "S", "N", "N"], "fractional_positions": [[0.000, 0.000, 0.000], [0.500, 0.500, 0.500], [0.000, 0.000, 0.500], [0.500, 0.000, 0.000], [0.000, 0.500, 0.000]]}



(4)
{"formula": "Ti6Ga3Re", "functional": "PBE", "state": "relaxed", "total_energy_ev_per_cell": -146.040, "magnetic_moment_mub_per_fu": 0.00, "rho_g_cm3": 7.117, "dos_at_fermi_per_ev_atom": 0.96, "lattice_angstrom": [[-1.427, 2.517, 3.542], [-5.974, 2.379, -4.097], [-2.428, -8.062, 4.752]], "species": ["Ti", "Ti", "Ti", "Ti", "Ti", "Ti", "Ti", "Ti", "Ti", "Ti", "Ti", "Ti", "Re", "Re", "Ga", "Ga", "Ga", "Ga", "Ga", "Ga"], "fractional_positions": [[0.250, 0.155, 0.189], [0.250, 0.856, 0.302], [0.750, 0.759, 0.507], [0.750, 0.936, 0.116], [0.750, 0.344, 0.310], [0.750, 0.144, 0.698], [0.250, 0.064, 0.884], [0.250, 0.656, 0.690], [0.250, 0.457, 0.089], [0.750, 0.845, 0.811], [0.750, 0.543, 0.911], [0.250, 0.241, 0.493], [0.250, 0.950, 0.598], [0.750, 0.050, 0.402], [0.750, 0.456, 0.610], [0.750, 0.647, 0.213], [0.750, 0.227, 0.015], [0.250, 0.544, 0.390], [0.250, 0.353, 0.787], [0.250, 0.773, 0.985]]}



(5)
{"formula": "BeMoOs2", "functional": "PBE", "state": "relaxed", "total_energy_ev_per_cell": -36.551, "magnetic_moment_mub_per_fu": 0.00, "rho_g_cm3": 14.781, "dos_at_fermi_per_ev_atom": 0.36, "lattice_angstrom": [[-3.956, 0.119, -1.424], [-1.383, -1.376, 3.727], [-0.264, 2.911, 0.977]], "species": ["Os", "Os", "Mo", "Be"], "fractional_positions": [[0.000, 0.000, 0.000], [0.500, 0.500, 0.000], [0.000, 0.500, 0.500], [0.500, 0.000, 0.500]]}



(6)
{"formula": "Y2TePt", "functional": "PBE", "state": "relaxed", "raw_formation_energy_ev_per_fu": -4.41, "total_energy_ev_per_cell": -26.516, "magnetic_moment_mub_per_fu": 0.00, "rho_g_cm3": 7.704, "dos_at_fermi_per_ev_atom": 0.93, "lattice_angstrom": [[-3.824, -0.312, 1.741], [0.695, -4.079, 0.795], [2.346, 1.455, 5.413]], "species": ["Pt", "Y", "Y", "Te"], "fractional_positions": [[0.000, 0.000, 0.375], [0.000, 0.000, 0.877], [0.500, 0.500, 0.374], [0.500, 0.500, 0.874]]}



(7)
{"formula": "Zr3TaAu", "functional": "PBE", "state": "relaxed", "total_energy_ev_per_cell": -36.128, "magnetic_moment_mub_per_fu": 0.00, "rho_g_cm3": 8.242, "polymorph_energy_ev_per_atom": 0.000, "dos_at_fermi_per_ev_atom": 1.95, "lattice_angstrom": [[-0.321, -4.435, -2.462], [5.040, 0.001, -0.657], [0.574, -2.483, 4.397]], "species": ["Zr", "Zr", "Zr", "Au", "Ta"], "fractional_positions": [[0.000, 0.000, 0.500], [0.500, 0.000, 0.000], [0.000, 0.500, 0.000], [0.500, 0.500, 0.500], [0.000, 0.000, 0.000]]}



(8)
{"formula": "Al2MoCl", "functional": "PBE", "state": "relaxed", "raw_formation_energy_ev_per_fu": 1.95, "total_energy_ev_per_cell": -18.210, "magnetic_moment_mub_per_fu": 0.00, "rho_g_cm3": 4.539, "polymorph_energy_ev_per_atom": 0.849, "dos_at_fermi_per_ev_atom": 0.68, "lattice_angstrom": [[-2.461, 1.187, -4.649], [-0.420, -3.737, -3.864], [-0.910, 0.466, 5.294]], "species": ["Mo", "Al", "Al", "Cl"], "fractional_positions": [[0.750, 0.250, 0.500], [0.000, 0.000, 0.000], [0.250, 0.750, 0.500], [0.500, 0.500, 0.000]]}



(9)
{"formula": "Rb2InSi2O6", "functional": "PBE", "state": "relaxed", "raw_formation_energy_ev_per_fu": -22.22, "total_energy_ev_per_cell": -67.489, "magnetic_moment_mub_per_fu": 0.53, "rho_g_cm3": 4.232, "dos_at_fermi_per_ev_atom": 0.15, "lattice_angstrom": [[5.833, 0.000, 0.000], [-2.916, 5.048, -0.201], [0.000, -3.133, 5.960]], "species": ["O", "O", "O", "O", "O", "O", "Si", "Si", "In", "Rb", "Rb"], "fractional_positions": [[0.776, 0.026, 0.276], [0.224, 0.974, 0.724], [0.750, 0.974, 0.724], [0.250, 0.026, 0.276], [0.250, 0.500, 0.277], [0.750, 0.500, 0.723], [0.076, 0.152, 0.229], [0.924, 0.848, 0.771], [0.500, 0.000, 0.500], [0.716, 0.433, 0.150], [0.284, 0.567, 0.850]]}



(10)
{"formula": "PrMg12Cd6", "functional": "PBE", "state": "relaxed", "total_energy_ev_per_cell": -29.228, "magnetic_moment_mub_per_fu": 0.00, "rho_g_cm3": 3.967, "dos_at_fermi_per_ev_atom": 0.36, "lattice_angstrom": [[8.066, -0.012, -0.017], [-2.011, 7.811, -0.017], [-2.011, -2.590, 7.369]], "species": ["Mg", "Mg", "Mg", "Mg", "Mg", "Mg", "Mg", "Mg", "Mg", "Mg", "Mg", "Mg", "Cd", "Cd", "Cd", "Cd", "Cd", "Cd", "Pr"], "fractional_positions": [[0.145, 0.396, 0.396], [0.112, 0.888, 0.500], [0.500, 0.112, 0.888], [0.112, 0.500, 0.888], [0.500, 0.888, 0.112], [0.855, 0.604, 0.604], [0.396, 0.396, 0.145], [0.888, 0.500, 0.112], [0.396, 0.145, 0.396], [0.604, 0.855, 0.604], [0.604, 0.604, 0.855], [0.888, 0.112, 0.500], [0.723, 0.723, 0.286], [0.723, 0.286, 0.723], [0.714, 0.277, 0.277], [0.277, 0.714, 0.277], [0.286, 0.723, 0.723], [0.277, 0.277, 0.714], [0.000, 0.000, 0.000]]}



(11)
{"formula": "Nd2HSe", "functional": "PBE", "state": "relaxed", "total_energy_ev_per_cell": -81.152, "magnetic_moment_mub_per_fu": 0.00, "rho_g_cm3": 6.422, "polymorph_energy_ev_per_atom": 0.030, "dos_at_fermi_per_ev_atom": 0.42, "lattice_angstrom": [[6.816, 0.000, 1.841], [0.000, 6.661, 0.000], [1.856, 0.000, 8.895]], "species": ["Nd", "Nd", "Nd", "Nd", "Nd", "Nd", "Nd", "Nd", "Se", "Se", "Se", "Se", "H", "H", "H", "H"], "fractional_positions": [[0.880, 0.696, 0.160], [0.628, 0.655, 0.613], [0.620, 0.196, 0.840], [0.372, 0.345, 0.387], [0.120, 0.304, 0.840], [0.872, 0.155, 0.387], [0.128, 0.845, 0.613], [0.380, 0.804, 0.160], [0.279, 0.893, 0.879], [0.721, 0.107, 0.121], [0.221, 0.393, 0.121], [0.779, 0.607, 0.879], [0.694, 0.461, 0.378], [0.194, 0.039, 0.378], [0.806, 0.961, 0.622], [0.306, 0.539, 0.622]]}



(12)
{"formula": "AlRh2Cl", "functional": "PBE", "state": "relaxed", "raw_formation_energy_ev_per_fu": -0.92, "total_energy_ev_per_cell": -21.215, "magnetic_moment_mub_per_fu": 0.00, "rho_g_cm3": 7.430, "polymorph_energy_ev_per_atom": 0.199, "dos_at_fermi_per_ev_atom": 1.24, "lattice_angstrom": [[8.102, -0.010, -0.006], [7.566, 2.898, -0.006], [7.566, 1.395, 2.540]], "species": ["Al", "Rh", "Rh", "Cl"], "fractional_positions": [[0.250, 0.250, 0.250], [0.997, 0.997, 0.997], [0.503, 0.503, 0.503], [0.750, 0.750, 0.750]]}



(13)
{"formula": "Rb2P2Pt", "functional": "PBE", "state": "relaxed", "total_energy_ev_per_cell": -42.829, "magnetic_moment_mub_per_fu": 0.00, "rho_g_cm3": 4.759, "dos_at_fermi_per_ev_atom": 0.00, "lattice_angstrom": [[6.256, 0.000, 0.000], [0.000, 6.613, 0.000], [0.000, -3.307, 7.219]], "species": ["Pt", "Pt", "Rb", "Rb", "Rb", "Rb", "P", "P", "P", "P"], "fractional_positions": [[0.500, 0.000, 0.000], [0.000, 0.000, 0.000], [0.250, 0.212, 0.424], [0.750, 0.788, 0.576], [0.750, 0.422, 0.844], [0.250, 0.578, 0.156], [0.750, 0.269, 0.207], [0.250, 0.062, 0.793], [0.250, 0.731, 0.793], [0.750, 0.938, 0.207]]}



(14)
{"formula": "KLiMg2Tl5", "functional": "PBE", "state": "relaxed", "total_energy_ev_per_cell": -17.989, "magnetic_moment_mub_per_fu": 0.00, "rho_g_cm3": 6.522, "dos_at_fermi_per_ev_atom": 0.38, "lattice_angstrom": [[5.145, 0.000, 0.000], [0.000, 8.394, 0.000], [-2.573, -4.197, 6.582]], "species": ["Tl", "Tl", "Tl", "Tl", "Tl", "Mg", "Mg", "Li", "K"], "fractional_positions": [[0.341, 0.632, 0.682], [0.659, 0.950, 0.318], [0.000, 0.000, 0.000], [0.659, 0.368, 0.318], [0.341, 0.050, 0.682], [0.778, 0.778, 0.555], [0.222, 0.222, 0.445], [0.500, 0.000, 0.000], [0.000, 0.500, 0.000]]}



(15)
{"formula": "CaGa8Cu2", "functional": "PBE", "state": "relaxed", "total_energy_ev_per_cell": -33.986, "magnetic_moment_mub_per_fu": 0.00, "rho_g_cm3": 4.739, "dos_at_fermi_per_ev_atom": 0.60, "lattice_angstrom": [[5.632, 0.000, 0.000], [0.000, 5.632, 0.000], [0.000, 0.000, 8.008]], "species": ["Ga", "Ga", "Ga", "Ga", "Ga", "Ga", "Ga", "Ga", "Ca", "Cu", "Cu"], "fractional_positions": [[0.753, 0.753, 0.196], [0.247, 0.753, 0.804], [0.247, 0.753, 0.196], [0.753, 0.247, 0.196], [0.753, 0.247, 0.804], [0.753, 0.753, 0.804], [0.247, 0.247, 0.196], [0.247, 0.247, 0.804], [0.500, 0.500, 0.500], [0.500, 0.000, 0.000], [0.000, 0.500, 0.000]]}



(16)
{"formula": "Dy5Sc4Hg4", "functional": "PBE", "state": "relaxed", "total_energy_ev_per_cell": -53.785, "magnetic_moment_mub_per_fu": 0.00, "rho_g_cm3": 8.801, "dos_at_fermi_per_ev_atom": 0.84, "lattice_angstrom": [[-3.612, 1.458, -2.995], [0.887, -4.547, -7.314], [-6.747, -5.189, 1.582]], "species": ["Dy", "Dy", "Dy", "Dy", "Dy", "Sc", "Sc", "Sc", "Sc", "Hg", "Hg", "Hg", "Hg"], "fractional_positions": [[0.311, 0.069, 0.309], [0.000, 0.000, 0.000], [0.380, 0.309, 0.931], [0.620, 0.691, 0.069], [0.689, 0.931, 0.691], [0.097, 0.496, 0.309], [0.594, 0.309, 0.504], [0.406, 0.691, 0.496], [0.903, 0.504, 0.691], [0.247, 0.668, 0.838], [0.085, 0.162, 0.668], [0.915, 0.838, 0.332], [0.753, 0.332, 0.162]]}



(17)
{"formula": "Pm3HoPb", "functional": "PBE", "state": "relaxed", "total_energy_ev_per_cell": -93.512, "magnetic_moment_mub_per_fu": 0.00, "rho_g_cm3": 8.153, "dos_at_fermi_per_ev_atom": 1.05, "lattice_angstrom": [[8.720, 0.000, 0.000], [0.000, 9.183, -1.199], [0.000, -4.469, 8.795]], "species": ["Pb", "Pb", "Pb", "Pb", "Pm", "Pm", "Pm", "Pm", "Pm", "Pm", "Pm", "Pm", "Pm", "Pm", "Pm", "Pm", "Ho", "Ho", "Ho", "Ho"], "fractional_positions": [[0.248, 0.902, 0.944], [0.752, 0.098, 0.056], [0.252, 0.902, 0.444], [0.748, 0.098, 0.556], [0.088, 0.091, 0.292], [0.936, 0.695, 0.904], [0.299, 0.591, 0.038], [0.564, 0.695, 0.404], [0.701, 0.409, 0.962], [0.201, 0.591, 0.538], [0.799, 0.409, 0.462], [0.588, 0.909, 0.208], [0.064, 0.305, 0.096], [0.436, 0.305, 0.596], [0.912, 0.909, 0.708], [0.412, 0.091, 0.792], [0.066, 0.262, 0.720], [0.934, 0.738, 0.280], [0.566, 0.738, 0.780], [0.434, 0.262, 0.220]]}



(18)
{"formula": "TmTiTlIn", "functional": "PBE", "state": "relaxed", "total_energy_ev_per_cell": -17.776, "magnetic_moment_mub_per_fu": 1.60, "rho_g_cm3": 9.590, "dos_at_fermi_per_ev_atom": 1.12, "lattice_angstrom": [[5.082, 0.000, 0.000], [2.541, 4.401, 0.000], [2.541, 1.467, 4.149]], "species": ["Ti", "Tm", "Tl", "In"], "fractional_positions": [[0.250, 0.250, 0.250], [0.750, 0.750, 0.750], [0.500, 0.500, 0.500], [0.000, 0.000, 0.000]]}



(19)
{"formula": "CaLa2Ga3", "functional": "PBE", "state": "relaxed", "total_energy_ev_per_cell": -24.039, "magnetic_moment_mub_per_fu": 0.00, "rho_g_cm3": 5.577, "dos_at_fermi_per_ev_atom": 0.84, "lattice_angstrom": [[-2.441, 2.248, -1.596], [-2.755, -1.913, 1.520], [0.309, 6.919, 9.270]], "species": ["Ca", "Ga", "Ga", "Ga", "La", "La"], "fractional_positions": [[0.500, 0.500, 0.500], [0.000, 0.000, 0.000], [0.000, 0.000, 0.654], [0.000, 0.000, 0.346], [0.500, 0.500, 0.828], [0.500, 0.500, 0.172]]}



(20)
{"formula": "AcSi2Pt2", "functional": "PBE", "state": "relaxed", "raw_formation_energy_ev_per_fu": -5.27, "total_energy_ev_per_cell": -64.621, "magnetic_moment_mub_per_fu": 0.00, "rho_g_cm3": 11.558, "polymorph_energy_ev_per_atom": 0.000, "dos_at_fermi_per_ev_atom": 0.58, "lattice_angstrom": [[4.396, 0.000, 0.000], [0.000, 4.396, 0.000], [0.000, 0.000, 10.011]], "species": ["Si", "Si", "Si", "Si", "Ac", "Ac", "Pt", "Pt", "Pt", "Pt"], "fractional_positions": [[0.000, 0.500, 0.374], [0.500, 0.000, 0.626], [0.500, 0.500, 0.000], [0.000, 0.000, 0.000], [0.000, 0.500, 0.754], [0.500, 0.000, 0.246], [0.500, 0.500, 0.500], [0.000, 0.000, 0.500], [0.500, 0.000, 0.881], [0.000, 0.500, 0.119]]}